DFT (meta-GGA SCAN) results for RbAgTe2Ir at its PBEsol-relaxed geometry.

Summary:
E_tot (eV/atom): -39.095
Crystal system: tetragonal
E_form (uncorrected) (eV per atom): 0.45
DOS(E_F) (states/eV per cell): 4.49
Size of the total moment (μB per atom): 0.000

Cell: 5.1298 5.1298 6.0614 Å, 90.00 90.00 90.00°
Element x y z (fractional)
Ir 0.0000 0.0000 0.0000
Te 0.0000 0.5000 0.0000
Te 0.5000 0.0000 0.0000
Rb 0.0000 0.0000 0.5000
Ag 0.5000 0.5000 0.5000